1.
# Tm2Be3PdPt4 PBE optimized geometry
# final energy	-5.835	eV/atom
data_Tm2Be3PdPt4
_chemical_formula_sum 'Tm2 Be3 Pd1 Pt4'
_space_group_name_H-M_alt 'P -4 m 2'
_space_group_IT_number 115
_space_group_name_Hall 'P -4 -2'
_cell_length_a 3.916
_cell_length_b 3.916
_cell_length_c 10.449
_cell_angle_alpha 90.00
_cell_angle_beta 90.00
_cell_angle_gamma 90.00
loop_
_atom_site_label
_atom_site_fract_x
_atom_site_fract_y
_atom_site_fract_z
_atom_site_occupancy
Tm1 0.000 0.500 0.243 1
Be1 0.000 0.500 0.883 1
Be2 0.500 0.500 0.500 1
Pd1 0.000 0.000 0.500 1
Pt1 0.000 0.000 0.000 1
Pt2 0.000 0.500 0.670 1
Pt3 0.500 0.500 0.000 1

2.
# PaNiP PBE optimized geometry
# final energy	-7.490	eV/atom
data_PaNiP
_chemical_formula_sum 'Pa4 Ni4 P4'
_space_group_name_H-M_alt 'C 1 2/m 1'
_space_group_IT_number 12
_space_group_name_Hall '-C 2y'
_cell_length_a 7.735
_cell_length_b 4.522
_cell_length_c 7.534
_cell_angle_alpha 90.00
_cell_angle_beta 120.45
_cell_angle_gamma 90.00
loop_
_atom_site_label
_atom_site_fract_x
_atom_site_fract_y
_atom_site_fract_z
_atom_site_occupancy
Pa1 0.102 0.000 0.217 1
Ni1 0.181 0.500 0.029 1
P1 0.163 0.000 0.618 1

Which value of final energy does entry 2 give?
-7.490 eV/atom

Which of these has the lowest final energy?
PaNiP